Material: La2AsPt
Method: DFT, PBE-GGA
State: optimized geometry

Geometry as POSCAR:
```
La2AsPt
1.0
4.333 0.000 0.000
-2.167 3.753 0.000
0.000 0.000 22.349
La As Pt
6 3 3
Cartesian
0.000 0.000 0.000
0.000 0.000 3.939
0.000 2.502 14.899
0.000 2.502 18.839
2.167 1.251 7.450
2.167 1.251 11.389
0.000 0.000 9.645
0.000 2.502 2.195
2.167 1.251 17.095
0.000 0.000 16.629
0.000 2.502 9.179
2.167 1.251 1.729
```

Properties
Volume ... 30.3 Å³/atom
Mass density ... 7.5 Mg/m³
Formation energy from the elements ... -0.89 eV/atom
DFT total energy ... -72.3 eV/cell

Material: NaLi2Gd
Method: DFT, PBE-GGA
State: optimized geometry

Geometry as POSCAR:
```
NaLi2Gd
1.0
5.705 0.000 0.000
0.000 5.705 0.000
0.000 0.000 3.417
Na Li Gd
1 2 1
Cartesian
0.000 0.000 0.000
0.000 2.853 1.708
2.853 0.000 1.708
2.853 2.853 0.000
```

Properties
Energy relative to the lowest polymorph listed for this composition ... 0.277 eV/f.u.
Volume ... 27.8 Å³/atom
Mass density ... 2.9 Mg/m³
Formation energy from the elements ... 0.20 eV/atom
DFT total energy ... -18.4 eV/cell

Material: BaSnGe6Pt2
Method: DFT, PBE-GGA
State: optimized geometry

Geometry as POSCAR:
```
BaSnGe6Pt2
1.0
2.722 1.572 10.920
-2.722 1.572 10.920
0.000 -3.144 10.920
Ba Sn Ge Pt
1 1 6 2
Cartesian
0.000 0.000 0.000
0.000 0.000 16.379
-1.654 0.433 14.084
-1.202 -1.216 18.675
0.452 -1.649 14.084
-0.452 1.649 18.675
1.202 1.216 14.084
1.654 -0.433 18.675
0.000 0.000 8.669
0.000 0.000 24.090
```

Properties
Volume ... 28.0 Å³/atom
Mass density ... 6.4 Mg/m³
Formation energy from the elements ... 0.06 eV/atom
DFT total energy ... -45.1 eV/cell

Material: Ca3TaOs
Method: DFT, PBE-GGA
State: optimized geometry

Geometry as POSCAR:
```
Ca3TaOs
1.0
5.431 0.000 0.000
0.000 5.431 0.000
0.000 0.000 5.431
Ca Ta Os
3 1 1
Cartesian
0.000 0.000 2.716
0.000 2.716 0.000
2.716 0.000 0.000
0.000 0.000 0.000
2.716 2.716 2.716
```

Properties
Energy relative to the lowest polymorph listed for this composition ... 3.758 eV/f.u.
Volume ... 32.0 Å³/atom
Mass density ... 5.1 Mg/m³
Formation energy from the elements ... 2.04 eV/atom
DFT total energy ... -18.9 eV/cell

Material: Sc2TaRhCl
Method: DFT, PBE-GGA
State: optimized geometry

Geometry as POSCAR:
```
Sc2TaRhCl
1.0
5.175 0.000 0.000
0.000 5.175 0.000
0.000 0.000 4.735
Sc Ta Rh Cl
2 1 1 1
Cartesian
0.000 2.587 0.000
2.587 0.000 0.000
0.000 0.000 2.368
0.000 0.000 0.000
2.587 2.587 2.368
```

Properties
Formation energy without anion corrections ... 152 meV/atom
Volume ... 25.4 Å³/atom
Mass density ... 5.4 Mg/m³
DFT total energy ... -33.0 eV/cell

Material: TeBr2F
Method: DFT, PBE-GGA
State: optimized geometry

Geometry as POSCAR:
```
TeBr2F
1.0
5.092 0.000 0.000
0.000 5.092 0.000
0.000 0.000 17.184
Te Br F
4 8 4
Cartesian
0.000 0.000 0.000
0.000 2.546 4.296
2.546 0.000 12.888
2.546 2.546 8.592
1.202 1.273 2.148
1.273 3.747 6.444
1.273 3.890 15.036
1.344 1.273 10.740
3.747 3.819 10.740
3.819 1.202 15.036
3.819 1.344 6.444
3.890 3.819 2.148
0.000 0.000 8.592
0.000 2.546 12.888
2.546 0.000 4.296
2.546 2.546 0.000
```

Properties
Energy relative to the lowest polymorph listed for this composition ... 0.256 eV/f.u.
Formation energy without anion corrections ... -81 meV/atom
Volume ... 27.8 Å³/atom
Mass density ... 4.6 Mg/m³
DFT total energy ... -34.7 eV/cell

Material: PuScGaSi
Method: DFT, PBE-GGA
State: optimized geometry

Geometry as POSCAR:
```
PuScGaSi
1.0
6.840 0.000 0.000
0.000 6.840 0.000
0.000 0.000 6.840
Pu Sc Ga Si
4 4 4 4
Cartesian
0.000 0.000 0.000
0.000 3.420 3.420
3.420 0.000 3.420
3.420 3.420 0.000
0.000 0.000 3.420
0.000 3.420 0.000
3.420 0.000 0.000
3.420 3.420 3.420
1.710 1.710 1.710
1.710 5.130 5.130
5.130 1.710 5.130
5.130 5.130 1.710
1.710 1.710 5.130
1.710 5.130 1.710
5.130 1.710 1.710
5.130 5.130 5.130
```

Properties
Formation energy without anion corrections ... -415 meV/atom
Volume ... 20.0 Å³/atom
Mass density ... 8.0 Mg/m³
DFT total energy ... -123.1 eV/cell

Material: Ac2NiP3Rh12
Method: DFT, PBE-GGA
State: optimized geometry

Geometry as POSCAR:
```
Ac2NiP3Rh12
1.0
4.224 2.439 5.335
-4.224 2.439 5.335
0.000 -4.878 5.335
Ac Ni P Rh
2 1 3 12
Cartesian
0.000 0.000 1.779
0.000 0.000 14.225
0.000 0.000 8.002
-2.112 -1.219 5.335
-2.112 1.219 10.669
0.000 2.439 5.335
-2.065 -1.192 7.535
0.000 -2.021 4.951
-1.750 1.010 4.951
0.000 -2.384 8.469
-2.065 1.192 8.469
-1.750 -1.010 11.053
1.750 1.010 4.951
2.065 -1.192 7.535
0.000 2.384 7.535
1.750 -1.010 11.053
0.000 2.021 11.053
2.065 1.192 8.469
```

Properties
Volume ... 18.3 Å³/atom
Mass density ... 9.3 Mg/m³
Formation energy from the elements ... -0.19 eV/atom
DFT total energy ... -121.8 eV/cell

Material: Mg2InAg
Method: DFT, PBE-GGA
State: optimized geometry

Geometry as POSCAR:
```
Mg2InAg
1.0
6.938 0.000 0.000
0.000 6.938 0.000
0.000 0.000 6.938
Mg In Ag
8 4 4
Cartesian
0.000 0.000 0.000
0.000 3.469 3.469
1.734 1.734 1.734
1.734 5.203 5.203
3.469 0.000 3.469
3.469 3.469 0.000
5.203 1.734 5.203
5.203 5.203 1.734
0.000 0.000 3.469
0.000 3.469 0.000
3.469 0.000 0.000
3.469 3.469 3.469
1.734 1.734 5.203
1.734 5.203 1.734
5.203 1.734 1.734
5.203 5.203 5.203
```

Properties
Volume ... 20.9 Å³/atom
Mass density ... 5.4 Mg/m³
Formation energy from the elements ... -0.05 eV/atom
DFT total energy ... -36.0 eV/cell

Material: KSn2TeS6
Method: DFT, PBE-GGA
State: optimized geometry

Geometry as POSCAR:
```
KSn2TeS6
1.0
7.226 -5.815 0.000
7.226 5.815 0.000
-3.290 0.000 7.401
K Sn Te S
2 4 2 12
Cartesian
4.758 3.430 5.551
6.403 -3.430 1.850
3.145 1.130 0.665
1.500 -1.130 4.365
9.661 1.130 3.036
8.016 -1.130 6.736
6.403 2.768 1.850
4.758 -2.768 5.551
2.012 2.442 6.865
-0.310 0.012 5.805
1.334 -0.012 2.104
4.681 1.308 2.715
7.505 2.442 4.236
8.126 1.308 0.985
3.036 -1.308 6.415
3.657 -2.442 3.165
6.481 -1.308 4.686
9.827 0.012 5.296
11.472 -0.012 1.596
9.150 -2.442 0.536
```

Properties
Formation energy without anion corrections ... -326 meV/atom
Volume ... 31.1 Å³/atom
Mass density ... 3.2 Mg/m³
DFT total energy ... -80.5 eV/cell

Material: Ba4HN2
Method: DFT, PBE-GGA
State: optimized geometry

Geometry as POSCAR:
```
Ba4HN2
1.0
6.034 0.000 0.000
0.000 6.034 0.000
0.000 0.000 6.519
Ba H N
4 1 2
Cartesian
1.479 1.479 1.788
1.479 4.555 4.731
4.555 1.479 4.731
4.555 4.555 1.788
0.000 0.000 0.000
0.000 3.017 3.260
3.017 0.000 3.260
```

Properties
Energy relative to the lowest polymorph listed for this composition ... 1.016 eV/f.u.
Volume ... 33.9 Å³/atom
Mass density ... 4.0 Mg/m³
DFT total energy ... -29.8 eV/cell

Material: NbSnSN2
Method: DFT, PBE-GGA
State: optimized geometry

Geometry as POSCAR:
```
NbSnSN2
1.0
4.060 0.000 0.000
0.000 4.060 0.000
0.000 0.000 5.015
Nb Sn S N
1 1 1 2
Cartesian
0.000 0.000 0.000
2.030 2.030 2.508
2.030 2.030 0.000
0.000 2.030 2.508
2.030 0.000 2.508
```

Properties
Energy relative to the lowest polymorph listed for this composition ... 5.718 eV/f.u.
Formation energy without anion corrections ... 1202 meV/atom
Volume ... 16.5 Å³/atom
Mass density ... 5.5 Mg/m³
DFT total energy ... -28.8 eV/cell

Material: KBa2SrHg
Method: DFT, PBE-GGA
State: optimized geometry

Geometry as POSCAR:
```
KBa2SrHg
1.0
6.731 0.000 0.000
0.000 6.731 0.000
0.000 0.000 6.554
K Ba Sr Hg
1 2 1 1
Cartesian
0.000 0.000 0.000
0.000 3.365 3.277
3.365 0.000 3.277
3.365 3.365 0.000
3.365 3.365 3.277
```

Properties
Energy relative to the lowest polymorph listed for this composition ... 0.000 eV/f.u.
Volume ... 59.4 Å³/atom
Mass density ... 3.4 Mg/m³
Formation energy from the elements ... -0.14 eV/atom
DFT total energy ... -7.6 eV/cell

Material: PmAgI5
Method: DFT, PBE-GGA
State: optimized geometry

Geometry as POSCAR:
```
PmAgI5
1.0
6.389 -5.523 0.000
6.389 5.523 0.000
-4.490 0.000 10.450
Pm Ag I
2 2 10
Cartesian
3.021 3.503 7.837
5.266 -3.503 2.612
6.389 0.000 0.000
4.144 0.000 5.225
0.868 0.252 3.826
-1.377 -0.252 9.050
1.475 2.709 10.442
4.567 2.709 5.232
3.021 0.328 7.837
5.266 -0.328 2.612
3.720 -2.709 5.217
6.812 -2.709 0.008
9.664 0.252 1.399
7.419 -0.252 6.624
```

Properties
Formation energy without anion corrections ... -769 meV/atom
Volume ... 52.7 Å³/atom
Mass density ... 4.0 Mg/m³
DFT total energy ... -41.5 eV/cell

Material: TcIrI2
Method: DFT, PBE-GGA
State: optimized geometry

Geometry as POSCAR:
```
TcIrI2
1.0
6.831 0.000 0.000
0.000 6.831 0.000
0.000 0.000 6.831
Tc Ir I
4 4 8
Cartesian
0.000 0.000 0.000
0.000 3.415 3.415
3.415 0.000 3.415
3.415 3.415 0.000
0.000 0.000 3.415
0.000 3.415 0.000
3.415 0.000 0.000
3.415 3.415 3.415
1.708 1.708 1.708
1.708 1.708 5.123
1.708 5.123 1.708
1.708 5.123 5.123
5.123 1.708 1.708
5.123 1.708 5.123
5.123 5.123 1.708
5.123 5.123 5.123
```

Properties
Energy relative to the lowest polymorph listed for this composition ... 0.752 eV/f.u.
Formation energy without anion corrections ... 1244 meV/atom
Volume ... 19.9 Å³/atom
Mass density ... 11.3 Mg/m³
DFT total energy ... -69.4 eV/cell

Material: ZrCo3Ge
Method: DFT, PBE-GGA
State: optimized geometry

Geometry as POSCAR:
```
ZrCo3Ge
1.0
4.575 0.000 0.000
0.000 4.575 0.000
0.000 0.000 4.575
Zr Co Ge
1 3 1
Cartesian
0.000 0.000 0.000
0.000 0.000 2.288
0.000 2.288 0.000
2.288 0.000 0.000
2.288 2.288 2.288
```

Properties
Energy relative to the lowest polymorph listed for this composition ... 8.229 eV/f.u.
Volume ... 19.2 Å³/atom
Mass density ... 5.9 Mg/m³
Formation energy from the elements ... 1.43 eV/atom
DFT total energy ... -27.3 eV/cell

Material: BaLa2Os
Method: DFT, PBE-GGA
State: optimized geometry

Geometry as POSCAR:
```
BaLa2Os
1.0
12.985 0.000 0.000
0.000 3.993 0.000
-3.682 0.000 5.940
Ba La Os
2 4 2
Cartesian
0.000 0.000 0.000
6.492 1.997 0.000
-0.407 1.997 3.749
2.894 1.997 2.036
6.085 0.000 3.749
9.387 0.000 2.036
1.451 0.000 3.257
7.944 1.997 3.257
```

Properties
Energy relative to the lowest polymorph listed for this composition ... 0.593 eV/f.u.
Volume ... 38.5 Å³/atom
Mass density ... 6.5 Mg/m³
Formation energy from the elements ... 0.10 eV/atom
DFT total energy ... -45.2 eV/cell

Material: La12In3Au
Method: DFT, PBE-GGA
State: optimized geometry

Geometry as POSCAR:
```
La12In3Au
1.0
5.750 0.000 0.000
0.000 5.750 0.000
0.000 0.000 15.494
La In Au
12 3 1
Cartesian
0.000 0.000 0.000
0.000 0.000 3.762
0.000 0.000 7.747
0.000 0.000 11.732
0.000 2.875 1.788
0.000 2.875 5.785
0.000 2.875 9.708
0.000 2.875 13.705
2.875 0.000 1.788
2.875 0.000 5.785
2.875 0.000 9.708
2.875 0.000 13.705
2.875 2.875 3.836
2.875 2.875 7.747
2.875 2.875 11.657
2.875 2.875 0.000
```

Properties
Volume ... 32.0 Å³/atom
Mass density ... 7.2 Mg/m³
Formation energy from the elements ... -0.22 eV/atom
DFT total energy ... -74.2 eV/cell

Material: LiLaTm2Te4
Method: DFT, PBE-GGA
State: optimized geometry

Geometry as POSCAR:
```
LiLaTm2Te4
1.0
7.574 0.000 0.000
0.000 4.350 0.000
-2.502 0.000 7.249
Li La Tm Te
1 1 2 4
Cartesian
0.000 0.000 0.000
3.787 2.175 0.000
-1.251 2.175 3.624
2.536 0.000 3.624
-0.066 0.000 5.350
1.198 2.175 1.858
3.874 2.175 5.391
5.138 0.000 1.898
```

Properties
Formation energy without anion corrections ... -1326 meV/atom
Volume ... 29.8 Å³/atom
Mass density ... 6.9 Mg/m³
DFT total energy ... -39.0 eV/cell

Material: ZnCrSn
Method: DFT, PBE-GGA
State: optimized geometry

Geometry as POSCAR:
```
ZnCrSn
1.0
3.984 0.000 0.000
0.000 8.428 0.000
0.000 0.000 6.503
Zn Cr Sn
4 4 4
Cartesian
0.996 0.997 0.000
0.996 5.211 3.251
2.988 3.217 3.251
2.988 7.431 0.000
0.996 3.576 5.171
0.996 7.790 1.920
2.988 0.639 1.920
2.988 4.853 5.171
0.996 1.345 3.715
0.996 5.560 0.464
2.988 2.869 0.464
2.988 7.083 3.715
```

Properties
Volume ... 18.2 Å³/atom
Mass density ... 7.2 Mg/m³
Formation energy from the elements ... 0.18 eV/atom
DFT total energy ... -57.4 eV/cell

Material: Dy2Al3Ag
Method: DFT, PBE-GGA
State: optimized geometry

Geometry as POSCAR:
```
Dy2Al3Ag
1.0
0.000 4.567 7.941
3.567 0.000 7.941
3.567 4.567 0.000
Dy Al Ag
4 6 2
Cartesian
5.371 4.567 7.941
1.784 2.283 3.970
5.351 6.850 11.911
1.763 4.567 7.941
3.567 2.282 6.622
3.567 2.282 9.259
3.567 4.567 5.312
3.567 4.567 10.569
3.567 6.852 6.622
3.567 6.852 9.259
3.567 4.567 2.668
3.567 4.567 13.213
```

Properties
Energy relative to the lowest polymorph listed for this composition ... 0.106 eV/f.u.
Volume ... 21.6 Å³/atom
Mass density ... 6.6 Mg/m³
Formation energy from the elements ... -0.45 eV/atom
DFT total energy ... -51.9 eV/cell

Material: Er3Ga4Tc2
Method: DFT, PBE-GGA
State: optimized geometry

Geometry as POSCAR:
```
Er3Ga4Tc2
1.0
5.860 -2.046 0.000
5.860 2.046 0.000
-2.742 0.000 7.668
Er Ga Tc
3 4 2
Cartesian
0.000 0.000 0.000
3.673 0.000 2.305
5.304 0.000 5.363
-0.275 0.000 3.030
0.887 0.000 7.038
8.089 0.000 0.629
9.251 0.000 4.638
1.809 0.000 4.603
7.168 0.000 3.065
```

Properties
Volume ... 20.4 Å³/atom
Mass density ... 8.8 Mg/m³
Formation energy from the elements ... -0.43 eV/atom
DFT total energy ... -50.4 eV/cell

Material: Pm2CuI8
Method: DFT, PBE-GGA
State: optimized geometry

Geometry as POSCAR:
```
Pm2CuI8
1.0
8.230 -3.624 0.000
8.230 3.624 0.000
-3.379 0.000 10.586
Pm Cu I
2 1 8
Cartesian
2.725 0.000 3.389
10.356 0.000 7.197
0.000 0.000 0.000
3.515 1.800 9.248
1.549 0.000 6.193
9.565 1.800 1.338
5.587 0.000 3.025
7.494 0.000 7.561
3.515 -1.800 9.248
11.532 0.000 4.393
9.565 -1.800 1.338
```

Properties
Formation energy without anion corrections ... -908 meV/atom
Volume ... 57.4 Å³/atom
Mass density ... 3.6 Mg/m³
DFT total energy ... -36.0 eV/cell

Material: TcRuO2
Method: DFT, PBE-GGA
State: optimized geometry

Geometry as POSCAR:
```
TcRuO2
1.0
5.498 0.000 0.000
0.000 5.498 0.000
0.000 0.000 5.498
Tc Ru O
4 4 8
Cartesian
0.000 0.000 0.000
0.000 2.749 2.749
2.749 0.000 2.749
2.749 2.749 0.000
0.000 0.000 2.749
0.000 2.749 0.000
2.749 0.000 0.000
2.749 2.749 2.749
1.374 1.374 1.374
1.374 1.374 4.123
1.374 4.123 1.374
1.374 4.123 4.123
4.123 1.374 1.374
4.123 1.374 4.123
4.123 4.123 1.374
4.123 4.123 4.123
```

Properties
Energy relative to the lowest polymorph listed for this composition ... 4.013 eV/f.u.
Formation energy without anion corrections ... 298 meV/atom
Volume ... 10.4 Å³/atom
Mass density ... 9.2 Mg/m³
DFT total energy ... -113.5 eV/cell

Material: Pr2NpAs3
Method: DFT, PBE-GGA
State: optimized geometry

Geometry as POSCAR:
```
Pr2NpAs3
1.0
4.246 0.000 0.000
0.000 4.246 0.000
0.000 0.000 17.963
Pr Np As
4 2 6
Cartesian
0.000 0.000 3.007
0.000 0.000 14.956
2.123 2.123 5.975
2.123 2.123 11.988
0.000 0.000 8.982
2.123 2.123 0.000
0.000 0.000 0.000
0.000 0.000 6.067
0.000 0.000 11.896
2.123 2.123 2.914
2.123 2.123 8.982
2.123 2.123 15.049
```

Properties
Volume ... 27.0 Å³/atom
Mass density ... 7.6 Mg/m³
Formation energy from the elements ... -1.20 eV/atom
DFT total energy ... -87.3 eV/cell